Entry 1:
{"formula": "HgSbN2", "functional": "GGA-PBE", "state": "relaxed", "de_polymorph_mev_per_atom": 1248, "cell": [[1.765, 1.019, 6.386], [-1.765, 1.019, 6.386], [0.000, -2.038, 6.386]], "species": ["Hg", "Sb", "N", "N"], "fractional_positions": [[0.000, 0.000, 0.000], [0.500, 0.500, 0.500], [0.393, 0.393, 0.393], [0.607, 0.607, 0.607]]}

---

Entry 2:
{"formula": "LiNdI3", "functional": "GGA-PBE", "state": "relaxed", "cell": [[7.409, 0.000, 0.000], [3.308, 6.668, 0.000], [3.451, 1.860, 7.403]], "species": ["Li", "Li", "Nd", "Nd", "I", "I", "I", "I", "I", "I"], "fractional_positions": [[0.155, 0.164, 0.017], [0.845, 0.836, 0.983], [0.363, 0.361, 0.485], [0.637, 0.639, 0.515], [0.073, 0.432, 0.240], [0.230, 0.945, 0.741], [0.430, 0.770, 0.205], [0.570, 0.230, 0.795], [0.770, 0.055, 0.259], [0.927, 0.568, 0.760]]}

---

The following DFT total energy values (in eV/atom) correspond, in order, to the records above: -3.890 -3.447.
The following uncorrected formation energy values (in meV/atom) correspond, in order, to the records above: 1379 -1181.